No. 1
## Ba3CuH (meta-GGA SCAN)

Data for a crystal of Ba3CuH relaxed with PBEsol.

total DFT energy (no corrections) = -135.3 eV per cell
volume = 45.7 Å³ per atom

a = 6.114 Å, b = 6.114 Å, c = 6.114 Å
α = 90.00°, β = 90.00°, γ = 90.00°
Positions (direct):
Ba: 0.000 0.000 0.500
Ba: 0.000 0.500 0.000
Ba: 0.500 0.000 0.000
Cu: 0.000 0.000 0.000
H: 0.500 0.500 0.500

***

No. 2
## MnMo2Au (meta-GGA SCAN)

Data for a crystal of MnMo2Au relaxed with PBEsol.

energy above the lowest structure with this stoichiometry = 0.0 meV/atom
formation energy from the elements = -0.005 eV/atom
total DFT energy (no corrections) = -157.2 eV per cell
volume = 15.0 Å³ per atom

a = 3.196 Å, b = 3.196 Å, c = 5.889 Å
α = 90.00°, β = 90.00°, γ = 90.00°
Positions (direct):
Mn: 0.000 0.000 0.000
Mo: 0.000 0.000 0.470
Mo: 0.500 0.500 0.237
Au: 0.500 0.500 0.756

***

No. 3
## ScInOs2 (meta-GGA SCAN)

Data for a crystal of ScInOs2 relaxed with PBEsol.

formation energy from the elements = 0.283 eV/atom
total DFT energy (no corrections) = -190.3 eV per cell
volume = 16.9 Å³ per atom

a = 9.262 Å, b = 9.262 Å, c = 9.262 Å
α = 18.21°, β = 18.21°, γ = 18.21°
Positions (direct):
Sc: 0.000 0.000 0.000
In: 0.763 0.763 0.763
Os: 0.254 0.254 0.254
Os: 0.513 0.513 0.513

***

Q: Among the records above, which one has the highest volume?
A: Ba3CuH

***

Q: Which of these has the highest total DFT energy (no corrections)?
A: Ba3CuH

***

Q: Which value of total DFT energy (no corrections) does entry 3 give?
A: -190.3 eV per cell

***

What did the second record say?
## MnMo2Au (meta-GGA SCAN)

Data for a crystal of MnMo2Au relaxed with PBEsol.

energy above the lowest structure with this stoichiometry = 0.0 meV/atom
formation energy from the elements = -0.005 eV/atom
total DFT energy (no corrections) = -157.2 eV per cell
volume = 15.0 Å³ per atom

a = 3.196 Å, b = 3.196 Å, c = 5.889 Å
α = 90.00°, β = 90.00°, γ = 90.00°
Positions (direct):
Mn: 0.000 0.000 0.000
Mo: 0.000 0.000 0.470
Mo: 0.500 0.500 0.237
Au: 0.500 0.500 0.756